Material: PmIn2GeTe4
Method: DFT, PBE-GGA
State: relaxed

extended XYZ file:
```
8
Lattice="7.747 0.000 0.000 0.000 4.420 0.000 -2.544 0.000 7.528" Properties=species:S:1:pos:R:3 pbc="T T T"
Pm 0.000 0.000 0.000
In -1.272 2.210 3.764
In 2.602 0.000 3.764
Ge 3.874 2.210 0.000
Te 1.364 2.210 1.759
Te 0.080 0.000 5.799
Te 5.124 0.000 1.729
Te 3.840 2.210 5.769
```

Calculated values
- theoretical density (g/cm3) = 6.169
- uncorrected energy (eV/atom) = -3.967
- formation energy without anion corrections (eV per atom) = -0.541